[1]
Below is a relaxed Na2TlTcF8 crystal, with properties calculated at the PBE level.

POSCAR file:
```
Na2TlTcF8
1.0
4.693 0.000 0.000
0.000 7.443 0.000
-0.131 0.000 5.393
Na Tl Tc F
2 1 1 8
Cartesian
0.000 1.825 0.000
0.000 5.617 0.000
2.281 3.721 2.697
2.281 0.000 2.697
0.724 3.721 1.076
0.984 0.000 1.223
1.355 1.452 3.638
1.355 5.990 3.638
3.208 1.452 1.755
3.208 5.990 1.755
3.579 0.000 4.170
3.838 3.721 4.318
```

Calculated values
Formation energy from raw total energies in eV per formula unit: -27.2
Space-group type: P2/m, No. 10

=====

[2]
Below is a relaxed NaZnTcF6 crystal, with properties calculated at the PBE level.

POSCAR file:
```
NaZnTcF6
1.0
5.419 0.000 0.000
-2.710 4.693 0.000
0.000 0.000 9.049
Na Zn Tc F
2 2 2 12
Cartesian
0.000 3.129 2.262
2.710 1.564 6.787
0.000 0.000 0.000
0.000 0.000 4.525
0.000 3.129 6.787
2.710 1.564 2.262
-0.765 1.606 5.638
-1.702 3.228 7.936
0.765 1.606 7.936
-0.936 4.553 5.638
1.773 0.140 1.113
1.008 1.466 3.411
1.702 3.228 5.638
0.936 4.553 7.936
3.646 0.140 3.411
1.944 3.088 1.113
4.412 1.466 1.113
3.475 3.088 3.411
```

Calculated values
Formation energy from raw total energies in eV per formula unit: -19.4
Space-group type: P-31c, No. 163

=====

[3]
Below is a relaxed NaZr2TcF crystal, with properties calculated at the PBE level.

POSCAR file:
```
NaZr2TcF
1.0
5.159 0.000 0.000
0.000 5.159 0.000
0.000 0.000 3.607
Na Zr Tc F
1 2 1 1
Cartesian
0.000 0.000 0.000
0.000 2.580 0.000
2.580 0.000 0.000
2.580 2.580 1.803
0.000 0.000 1.803
```

Calculated values
Formation energy from raw total energies in eV per formula unit: 3.0
Space-group type: P4/mmm, No. 123

=====

[4]
Below is a relaxed Na2TeF crystal, with properties calculated at the PBE level.

POSCAR file:
```
Na2TeF
1.0
-3.436 3.436 4.175
3.436 -3.436 4.175
3.436 3.436 -4.175
Na Te F
4 2 2
Cartesian
5.153 0.886 -1.044
0.886 1.718 1.044
-1.718 2.550 3.132
2.550 1.718 5.219
3.436 0.000 2.088
0.000 0.000 4.175
0.000 0.000 0.000
0.000 3.436 2.088
```

Calculated values
Formation energy from raw total energies in eV per formula unit: -6.0
Distance to the lowest polymorph of the same formula in eV/f.u.: 0.33
Space-group type: I-42d, No. 122

=====

[5]
Below is a relaxed NaTeF5 crystal, with properties calculated at the PBE level.

POSCAR file:
```
NaTeF5
1.0
10.370 0.000 0.000
0.000 6.005 0.000
0.000 0.000 7.417
Na Te F
4 4 20
Cartesian
0.031 1.501 1.330
5.154 4.503 5.039
5.216 1.501 2.379
10.338 4.503 6.087
2.424 1.501 4.802
2.761 4.503 1.094
7.608 1.501 6.324
7.946 4.503 2.615
1.021 0.103 4.821
1.021 2.899 4.821
1.419 3.149 0.386
1.419 5.858 0.386
1.965 1.501 2.935
3.220 4.503 6.643
3.765 0.146 4.095
3.765 2.856 4.095
4.163 3.106 1.112
4.163 5.901 1.112
6.206 0.103 6.305
6.206 2.899 6.305
6.604 3.149 3.323
6.604 5.858 3.323
7.150 1.501 0.774
8.405 4.503 4.483
8.950 0.146 7.031
8.950 2.856 7.031
9.348 3.106 2.597
9.348 5.901 2.597
```

Calculated values
Formation energy from raw total energies in eV per formula unit: -16.7
Distance to the lowest polymorph of the same formula in eV/f.u.: 0.00
Space-group type: Pnma, No. 62

=====

[6]
Below is a relaxed Na2TeF crystal, with properties calculated at the PBE level.

POSCAR file:
```
Na2TeF
1.0
3.305 0.000 0.000
0.000 3.305 0.000
0.000 0.000 7.502
Na Te F
2 1 1
Cartesian
0.000 0.000 1.436
0.000 0.000 6.066
1.653 1.653 3.751
1.653 1.653 0.000
```

Calculated values
Formation energy from raw total energies in eV per formula unit: -5.9
Distance to the lowest polymorph of the same formula in eV/f.u.: 0.46
Space-group type: P4/mmm, No. 123

=====

[7]
Below is a relaxed NaTeF2 crystal, with properties calculated at the PBE level.

POSCAR file:
```
NaTeF2
1.0
-3.026 3.026 3.995
3.026 -3.026 3.995
3.026 3.026 -3.995
Na Te F
2 2 4
Cartesian
0.000 0.000 0.000
0.000 3.026 1.998
3.026 0.000 1.998
0.000 0.000 3.995
4.539 1.185 -0.999
1.185 1.513 0.999
-1.513 1.841 2.997
1.841 1.513 4.994
```

Calculated values
Formation energy from raw total energies in eV per formula unit: -5.9
Distance to the lowest polymorph of the same formula in eV/f.u.: 1.63
Space-group type: I-42d, No. 122

=====

[8]
Below is a relaxed NaTeF6 crystal, with properties calculated at the PBE level.

POSCAR file:
```
NaTeF6
1.0
5.398 0.000 0.000
-2.699 4.674 0.000
0.000 0.000 5.185
Na Te F
1 1 6
Cartesian
0.000 0.000 0.000
0.000 3.116 2.593
-0.771 1.707 1.433
-1.606 3.153 3.752
0.771 1.707 3.752
-0.835 4.488 1.433
1.606 3.153 1.433
0.835 4.488 3.752
```

Calculated values
Formation energy from raw total energies in eV per formula unit: -17.8
Distance to the lowest polymorph of the same formula in eV/f.u.: 0.00
Space-group type: P312, No. 149

=====

[9]
Below is a relaxed Na2TeF7 crystal, with properties calculated at the PBE level.

POSCAR file:
```
Na2TeF7
1.0
6.318 -3.221 0.000
6.318 3.221 0.000
-5.259 0.000 7.174
Na Te F
4 2 14
Cartesian
0.873 0.562 2.116
-1.756 -0.562 5.703
9.133 0.562 1.471
6.503 -0.562 5.058
5.003 0.865 1.793
2.374 -0.865 5.380
5.003 2.900 1.793
3.036 1.387 1.682
0.082 1.192 7.019
1.442 0.779 4.458
4.665 1.192 3.741
6.970 1.387 1.905
4.072 -0.779 0.871
3.305 0.779 6.302
0.407 -1.387 5.269
2.712 -1.192 3.432
5.934 -0.779 2.716
7.294 -1.192 0.155
4.340 -1.387 5.491
2.374 -2.900 5.380
```

Calculated values
Formation energy from raw total energies in eV per formula unit: -23.0
Space-group type: C2/c, No. 15

=====

[10]
Below is a relaxed NaTeF6 crystal, with properties calculated at the PBE level.

POSCAR file:
```
NaTeF6
1.0
4.068 -3.216 0.000
4.068 3.216 0.000
-2.184 0.000 4.949
Na Te F
1 1 6
Cartesian
0.000 0.000 0.000
2.976 0.000 2.474
3.075 1.387 1.068
1.014 0.000 2.228
2.876 1.387 3.880
3.075 -1.387 1.068
4.937 0.000 2.721
2.876 -1.387 3.880
```

Calculated values
Formation energy from raw total energies in eV per formula unit: -17.6
Distance to the lowest polymorph of the same formula in eV/f.u.: 0.11
Space-group type: C2/m, No. 12

=====

[11]
Below is a relaxed Na3TeF6 crystal, with properties calculated at the PBE level.

POSCAR file:
```
Na3TeF6
1.0
0.000 4.179 5.330
3.837 0.000 5.330
3.837 4.179 0.000
Na Te F
3 1 6
Cartesian
0.000 0.000 0.000
1.919 2.090 2.665
5.756 6.269 7.996
3.837 4.179 5.330
5.739 4.179 3.999
3.837 2.117 5.330
5.739 4.179 6.662
1.935 4.179 3.999
3.837 6.242 5.330
1.935 4.179 6.662
```

Calculated values
Formation energy from raw total energies in eV per formula unit: -22.1
Space-group type: Fmmm, No. 69

=====

[12]
Below is a relaxed Na2TeF8 crystal, with properties calculated at the PBE level.

POSCAR file:
```
Na2TeF8
1.0
7.400 -1.951 0.000
7.400 1.951 0.000
-1.032 0.000 4.934
Na Te F
2 1 8
Cartesian
2.791 0.000 1.052
10.977 0.000 3.883
6.884 0.000 2.467
-0.019 0.000 1.471
2.571 0.000 3.687
5.036 0.000 3.022
6.068 0.000 0.739
7.700 0.000 4.195
8.732 0.000 1.912
11.197 0.000 1.248
13.786 0.000 3.463
```

Calculated values
Formation energy from raw total energies in eV per formula unit: -21.7
Space-group type: C2/m, No. 12